The following is a PBE calculation of crystalline TiNbCrCu at its relaxed geometry, from Alexandria.

The volume is 235.2 Å³ per cell. The crystal system is cubic. The value obtained for the formation energy is 0.0660 eV per atom. The density of states at the Fermi level comes out at 1.125 states/eV/atom.

It has space group F-43m (No. 216), with a = 6.173 Å, b = 6.173 Å, c = 6.173 Å, α = 90.00°, β = 90.00° and γ = 90.00°. Symmetry generates all atoms from Ti at (0.000, 0.000, 0.000), Nb at (0.000, 0.000, 0.500), Cr at (0.250, 0.250, 0.250) and Cu at (0.250, 0.250, 0.750).